1.
An optimized crystal structure of Pd8Pb3, computed with PBE.

Summary:
E_tot: -4.731 eV/atom

Cell lengths 9.1491, 9.1491, 9.4407 Å; angles 90.00, 90.00, 120.00 degrees
Space group R-3 (No. 148, hexagonal axes)
Inequivalent atoms, fractional coordinates:
Pd: 0.0000 0.0000 0.1434 (multiplicity 6)
Pd: 0.0375 0.8401 0.3876 (multiplicity 18)
Pb: 0.0000 0.5000 0.5000 (multiplicity 9)

2.
An optimized crystal structure of Pd3Pb2, computed with PBE.

Summary:
Polymorph energy (0 for the lowest one): 55 meV/atom

Cell lengths 4.2281, 4.2281, 20.8535 Å; angles 90.00, 90.00, 120.00 degrees
Space group R-3m (No. 166, hexagonal axes)
Inequivalent atoms, fractional coordinates:
Pd: 0.0000 0.0000 0.0000 (multiplicity 3)
Pd: 0.0000 0.0000 0.1378 (multiplicity 6)
Pb: 0.0000 0.0000 0.4072 (multiplicity 6)

3.
An optimized crystal structure of PdPb, computed with PBE.

Summary:
E_tot: -4.448 eV/atom

Cell lengths 9.506, 9.506, 5.363 Å; angles 90.00, 90.00, 90.00 degrees
Space group I4/mcm (No. 140)
Inequivalent atoms, fractional coordinates:
Pd: 0.174 0.326 0.000 (multiplicity 8)
Pb: 0.124 0.376 0.500 (multiplicity 8)

4.
An optimized crystal structure of Pd4Pb3, computed with PBE.

Summary:
Polymorph energy (0 for the lowest one): 14 meV/atom

Cell lengths 3.635, 3.635, 21.289 Å; angles 90.00, 90.00, 90.00 degrees
Space group I4/mmm (No. 139)
Inequivalent atoms, fractional coordinates:
Pd: 0.000 0.000 0.070 (multiplicity 4)
Pd: 0.000 0.000 0.213 (multiplicity 4)
Pb: 0.000 0.000 0.346 (multiplicity 4)
Pb: 0.000 0.000 0.500 (multiplicity 2)

It is found that the magnetic moment values, taken in the order of the records, are 0.00, 0.00, 0.00, 0.00 μB/cell.